DFT (PBE) results for a relaxed NaTa2MnAg crystal.

a = 4.530 Å, b = 4.530 Å, c = 5.187 Å
α = 90.00°, β = 90.00°, γ = 90.00°
Space group P4/mmm (No. 123)
Symmetry-distinct sites (fractional):
Na1 0.000 0.000 0.000 x1
Ta1 0.000 0.500 0.500 x2
Mn1 0.500 0.500 0.500 x1
Ag1 0.500 0.500 0.000 x1

Results
Crystal system: tetragonal
Uncorrected energy, Ha/atom: -0.2377

***

DFT (PBE) results for a relaxed NaMnAgTe3 crystal.

a = 8.498 Å, b = 4.048 Å, c = 9.637 Å
α = 90.00°, β = 105.22°, γ = 90.00°
Space group P2_1/m (No. 11)
Symmetry-distinct sites (fractional):
Na1 0.204 0.250 0.273 x2
Mn1 0.319 0.750 0.847 x2
Ag1 0.064 0.250 0.604 x2
Te1 0.121 0.250 0.901 x2
Te2 0.282 0.750 0.555 x2
Te3 0.455 0.750 0.140 x2

Results
Crystal system: monoclinic
Energy relative to the elements, uncorrected, eV per atom: -0.32

***

For each record above, in turn, the calculated DOS(E_F) values are 4.03 3.98 states/eV/cell.